Material: BaLa2BeNi
Method: DFT, PBE-GGA
State: optimized geometry

a = 5.3323 Å, b = 5.3323 Å, c = 6.0467 Å
α = 90.00°, β = 90.00°, γ = 90.00°
Closest atoms and distances in Å follow each position.
Fractional positions:
Ba: 0.0000 0.0000 0.0000  2 Ni 3.02
La: 0.0000 0.5000 0.5000  2 Ni 2.67
La: 0.5000 0.0000 0.5000  2 Ni 2.67
Be: 0.5000 0.5000 0.0000  4 Ba 3.77, 8 La 4.03
Ni: 0.0000 0.0000 0.5000  4 La 2.67

ΔH_f (0 K): 0.42 eV/atom